## Na2LiErCl6 (PBE-GGA)

Data for an optimized crystal structure of Na2LiErCl6.

abc: 6.8913 6.8913 18.3096
angles: 90.00 90.00 120.00
Last column: nearest neighbours and their distance in Å.
Space group R3 (No. 146, hexagonal axes)
Symmetry-distinct sites (fractional):
Na: 0.0000 0.0000 0.0000  6 Cl 2.81-2.88
Na: 0.0000 0.0000 0.4937  6 Cl 2.78-2.95
Li: 0.0000 0.0000 0.2098  6 Cl 2.53-2.84
Er: 0.0000 0.0000 0.6971  6 Cl 2.61-2.66
Cl: 0.0479 0.3410 0.7733  1 Er 2.61, 2 Na 2.78-2.88, 1 Li 2.84
Cl: 0.0492 0.7014 0.2739  1 Li 2.53, 1 Er 2.66, 1 Na 2.81

Output
raw formation energy: -1.995 eV/atom
polymorph energy (0 for the lowest one): 0.00 eV/f.u.
crystal system: trigonal

=====

## ErAl3Cu2 (PBE-GGA)

Data for an optimized crystal structure of ErAl3Cu2.

abc: 16.2106 4.0030 9.8010
angles: 90.00 106.29 90.00
Last column: nearest neighbours and their distance in Å.
Space group C2/m (No. 12)
Symmetry-distinct sites (fractional):
Er: 0.0000 0.0000 0.0000  6 Cu 3.08-3.14, 6 Al 3.13-3.26
Er: 0.1562 0.0000 0.7008  6 Cu 3.07-3.17, 9 Al 3.17-3.44
Al: 0.0000 0.5000 0.5000  4 Cu 2.42-2.64
Al: 0.0454 0.0000 0.3463  4 Cu 2.47-2.57, 3 Al 2.68-2.73
Al: 0.1260 0.5000 0.2003  4 Cu 2.47-2.56, 1 Al 2.63
Al: 0.1709 0.5000 0.9627  4 Cu 2.48-2.53, 1 Al 2.63
Al: 0.2163 0.0000 0.3896  4 Cu 2.39-2.54
Cu: 0.0275 0.5000 0.7785  5 Al 2.47-2.64
Cu: 0.1400 0.5000 0.4575  7 Al 2.39-2.57
Cu: 0.2004 0.0000 0.1276  6 Al 2.48-2.54

Output
crystal system: monoclinic
E_form: -0.39 eV per atom

=====

## CsCdAg3 (PBE-GGA)

Data for an optimized crystal structure of CsCdAg3.

abc: 5.7079 11.2167 9.5753
angles: 90.00 90.00 90.00
Last column: nearest neighbours and their distance in Å.
Space group Imma (No. 74)
Symmetry-distinct sites (fractional):
Cs: 0.0000 0.2500 0.0765  11 Ag 3.76-4.16, 4 Cd 4.07
Cd: 0.0000 0.0000 0.5000  4 Ag 2.83
Ag: 0.0000 0.2500 0.6795  6 Ag 2.82-3.16
Ag: 0.2500 0.0415 0.7500  4 Ag 2.82-2.85, 2 Cd 2.83

Output
polymorph energy (0 for the lowest one): 0.00 eV/f.u.
crystal system: orthorhombic
E_form: 0.04 eV per atom

=====

## YGa6Mo (PBE-GGA)

Data for an optimized crystal structure of YGa6Mo.

abc: 9.4602 9.4602 6.2291
angles: 90.00 90.00 120.00
Last column: nearest neighbours and their distance in Å.
Space group R-3m (No. 166, hexagonal axes)
Symmetry-distinct sites (fractional):
Y: 0.0000 0.0000 0.0000  12 Ga 3.03-3.37, 2 Mo 3.11
Ga: 0.0358 0.5179 0.2936  1 Mo 2.56, 1 Ga 2.64
Mo: 0.0000 0.0000 0.5000  6 Ga 2.56

Output
crystal system: trigonal
E_form: -0.10 eV per atom

=====

## ZrInRe (PBE-GGA)

Data for an optimized crystal structure of ZrInRe.

abc: 3.1125 4.4336 8.6541
angles: 90.00 93.30 90.00
Last column: nearest neighbours and their distance in Å.
Space group P2_1/m (No. 11)
Symmetry-distinct sites (fractional):
Zr: 0.0129 0.2500 0.2685  3 Re 2.66-2.96
In: 0.4845 0.7500 0.1029  4 In 2.85-3.11, 1 Re 2.96, 4 Zr 3.06-3.07
Re: 0.3590 0.2500 0.5565  2 Re 2.60, 1 Zr 2.66

Output
polymorph energy (0 for the lowest one): 0.37 eV/f.u.
crystal system: monoclinic
E_form: -0.02 eV per atom

=====

## Re4P5 (PBE-GGA)

Data for an optimized crystal structure of Re4P5.

abc: 7.1813 7.1813 5.6521
angles: 90.00 90.00 120.00
Last column: nearest neighbours and their distance in Å.
Space group P6_3/mcm (No. 193)
Symmetry-distinct sites (fractional):
Re: 0.0000 0.0000 0.0000  6 P 2.43
Re: 0.0000 0.4012 0.2500  3 P 2.33-2.55
P: 0.0000 0.2750 0.7500  5 Re 2.33-2.55
P: 0.3333 0.6667 0.0000  6 Re 2.61, 2 P 2.83

Output
crystal system: hexagonal
E_form: 0.31 eV per atom

=====

## Pr2SmDy2Ho4 (PBE-GGA)

Data for an optimized crystal structure of Pr2SmDy2Ho4.

abc: 6.1949 6.1991 8.0109
angles: 82.51 75.18 80.47
Last column: nearest neighbours and their distance in Å.
Space group P-1 (No. 2)
Symmetry-distinct sites (fractional):
Pr: 0.1672 0.3330 0.3321  6 Ho 3.56-3.61, 4 Dy 3.57-3.59, 1 Sm 3.58, 1 Pr 3.61
Sm: 0.5000 0.0000 0.0000  8 Ho 3.55-3.59, 2 Pr 3.58, 2 Dy 3.58
Dy: 0.3908 0.7775 0.4447  2 Dy 3.57, 5 Ho 3.57-3.61, 4 Pr 3.57-3.59, 1 Sm 3.58
Ho: 0.0573 0.1107 0.7799  4 Ho 3.55-3.58, 2 Sm 3.55-3.59, 3 Dy 3.57-3.61, 3 Pr 3.59-3.61
Ho: 0.2763 0.5558 0.8887  5 Ho 3.56-3.59, 3 Pr 3.56-3.58, 2 Dy 3.58-3.59, 2 Sm 3.58

Output
crystal system: triclinic
E_form: 0.02 eV per atom

=====

## LiHgPt2 (PBE-GGA)

Data for an optimized crystal structure of LiHgPt2.

abc: 2.8506 2.8506 27.7659
angles: 90.00 90.00 120.00
Last column: nearest neighbours and their distance in Å.
Space group R-3m (No. 166, hexagonal axes)
Symmetry-distinct sites (fractional):
Li: 0.0000 0.0000 0.0000  6 Pt 2.68, 6 Li 2.85
Hg: 0.0000 0.0000 0.5000  6 Hg 2.85, 6 Pt 3.01
Pt: 0.0000 0.0000 0.2573  3 Li 2.68, 6 Pt 2.85

Output
crystal system: trigonal
E_form: -0.17 eV per atom

=====

The following ρ values (in g/cm³) correspond, in order, to the records above: 2.864; 6.125; 6.164; 6.224; 10.926; 11.837; 8.056; 15.239.
The following E_tot values (in eV/atom) correspond, in order, to the records above: -4.015; -4.389; -2.021; -4.530; -7.932; -8.230; -4.625; -3.748.